Density functional theory data (GGA-PBE) for a geometry-optimized HoTlInHg structure.

abc: 4.616 4.619 4.697
angles: 90.00 90.00 90.00
Fractional positions:
Hg 0.500 0.000 0.500
In 0.000 0.500 0.500
Ho 0.500 0.500 0.000
Tl 0.000 0.000 0.000

Summary:
Total magnetic moment   0.00 μB per cell
Mass density   11.352 g/cm3
Energy relative to the lowest polymorph listed for this composition   0 meV/atom